Record 1
## Ce3GaNi2 (PBE-GGA)

Data for crystalline Ce3GaNi2 at its relaxed geometry.

```
Ce3GaNi2
1.0
6.6018 0.0000 0.0000
0.0000 9.1861 0.0000
-5.7806 0.0000 8.3850
Ce Ga Ni
12 4 8
direct
0.1748 0.0673 0.3759
0.1748 0.4327 0.8759
0.2821 0.6609 0.1240
0.2821 0.8391 0.6240
0.3222 0.0613 0.0583
0.3222 0.4387 0.5583
0.6778 0.5613 0.4417
0.6778 0.9387 0.9417
0.7179 0.1609 0.3760
0.7179 0.3391 0.8760
0.8252 0.5673 0.1241
0.8252 0.9327 0.6241
0.2297 0.1651 0.7087
0.2297 0.3349 0.2087
0.7703 0.6651 0.7913
0.7703 0.8349 0.2913
0.1709 0.7137 0.3641
0.1709 0.7863 0.8642
0.4357 0.6223 0.8342
0.4357 0.8777 0.3342
0.5643 0.1223 0.6658
0.5643 0.3777 0.1658
0.8291 0.2137 0.1358
0.8291 0.2863 0.6358
```

Properties
space-group type	P2_1/c (14)

---

Record 2
## CeGa9Ni3 (PBE-GGA)

Data for crystalline CeGa9Ni3 at its relaxed geometry.

```
CeGa9Ni3
1.0
2.6108 -6.3157 0.0000
2.6108 6.3157 0.0000
-2.3444 0.0000 6.2227
Ce Ga Ni
1 9 3
direct
0.0000 0.0000 0.0000
0.0000 0.0000 0.5000
0.0098 0.6505 0.6643
0.2978 0.5200 0.7884
0.3495 0.9902 0.3357
0.4800 0.7022 0.2116
0.5200 0.2978 0.7884
0.6505 0.0098 0.6643
0.7022 0.4800 0.2116
0.9902 0.3495 0.3357
0.0000 0.5000 0.0000
0.5000 0.0000 0.0000
0.5000 0.5000 0.5000
```

Properties
space-group type	C2/m (12)

---

Record 3
## Ce3GaNi8 (PBE-GGA)

Data for crystalline Ce3GaNi8 at its relaxed geometry.

```
Ce3GaNi8
1.0
2.5007 1.4438 8.2097
-2.5007 1.4438 8.2097
0.0000 -2.8876 8.2097
Ce Ga Ni
3 1 8
direct
0.0000 0.0000 0.0000
0.1279 0.1279 0.1279
0.5103 0.5103 0.5103
0.6341 0.6341 0.6341
0.0618 0.5663 0.5663
0.0691 0.0691 0.5653
0.0691 0.5653 0.0691
0.3159 0.3159 0.3159
0.5653 0.0691 0.0691
0.5663 0.0618 0.5663
0.5663 0.5663 0.0618
0.8164 0.8164 0.8164
```

Properties
space-group type	R3m (160)

---

The evaluated ρ for the records listed, in turn: 7.9; 7.6; 9.0 Mg/m³.
The evaluated DFT formation energy for the records listed, in turn: -0.31; -0.33; -0.40 eV/atom.